Entry from OQMD via LeMat-Bulk: crystalline TbAl7Au3 at its relaxed geometry (PBE).

The structure in CIF format:
```
data_TbAl7Au3
_chemical_formula_sum 'Tb6 Al42 Au18'
_cell_length_a 8.1021
_cell_length_b 8.1021
_cell_length_c 21.1044
_cell_angle_alpha 90.00
_cell_angle_beta 90.00
_cell_angle_gamma 120.00
_space_group_name_H-M_alt 'R -3 c'
_space_group_IT_number 167
_space_group_name_Hall '-R 3 2"c'
loop_
_atom_site_label
_atom_site_type_symbol
_atom_site_fract_x
_atom_site_fract_y
_atom_site_fract_z
Tb1 Tb 0.0000 0.0000 0.0000
Al1 Al 0.0000 0.0000 0.2500
Al2 Al 0.0104 0.2062 0.1367
Au1 Au 0.0000 0.3236 0.2500
```

- total moment (μB/atom) = 0.00
- calculated volume (Å³/cell) = 1199.78

Entry from OQMD via LeMat-Bulk: crystalline Al2TcAu at its relaxed geometry (PBE).

The structure in CIF format:
```
data_Al2TcAu
_chemical_formula_sum 'Al8 Tc4 Au4'
_cell_length_a 6.304
_cell_length_b 6.304
_cell_length_c 6.304
_cell_angle_alpha 90.00
_cell_angle_beta 90.00
_cell_angle_gamma 90.00
_space_group_name_H-M_alt 'F -4 3 m'
_space_group_IT_number 216
_space_group_name_Hall 'F -4 2 3'
loop_
_atom_site_label
_atom_site_type_symbol
_atom_site_fract_x
_atom_site_fract_y
_atom_site_fract_z
Al1 Al 0.000 0.000 0.000
Al2 Al 0.250 0.250 0.250
Tc1 Tc 0.250 0.250 0.750
Au1 Au 0.000 0.000 0.500
```

- total moment (μB/atom) = 0.00
- calculated volume (Å³/cell) = 250.48

Entry from OQMD via LeMat-Bulk: crystalline AlTc2Au at its relaxed geometry (PBE).

The structure in CIF format:
```
data_AlTc2Au
_chemical_formula_sum 'Al4 Tc8 Au4'
_cell_length_a 6.259
_cell_length_b 6.259
_cell_length_c 6.259
_cell_angle_alpha 90.00
_cell_angle_beta 90.00
_cell_angle_gamma 90.00
_space_group_name_H-M_alt 'F -4 3 m'
_space_group_IT_number 216
_space_group_name_Hall 'F -4 2 3'
loop_
_atom_site_label
_atom_site_type_symbol
_atom_site_fract_x
_atom_site_fract_y
_atom_site_fract_z
Al1 Al 0.000 0.000 0.000
Tc1 Tc 0.000 0.000 0.500
Tc2 Tc 0.250 0.250 0.750
Au1 Au 0.250 0.250 0.250
```

- total moment (μB/atom) = 0.00
- calculated volume (Å³/cell) = 245.21

What did we get for raw total energy? Answer: -4.214; -5.225; -6.857 eV per atom, in the order shown.